A plane-wave DFT calculation with PBE+U was carried out for ScWO5 after structural relaxation.

abc: 3.791 5.440 5.440
angles: 73.27 69.61 69.61
Element x y z (fractional)
Sc  0.500  0.500  0.500
W  0.000  0.000  0.000
O  0.757  0.243  0.243
O  0.000  0.302  0.698
O  0.500  0.000  0.000
O  0.000  0.698  0.302
O  0.243  0.757  0.757

Calculated values
**D(E_F)**: 2.42 states/eV/f.u.
**V**: 96.8 Å³ per cell
**Final energy**: -53.70 eV per cell